[1]
Co2Tc at its PBEsol-relaxed geometry, computed with meta-GGA SCAN.

Results
The energy relative to the lowest polymorph listed for this composition is 17 meV/atom. The formation energy is 0.152 eV/atom.

a b c (Å): 9.163 2.564 5.974
angles (deg): 90.00 104.72 90.00
Space group C2/m (No. 12)
Asymmetric unit:
Co 0.145 0.000 0.029
Co 0.198 0.000 0.638
Tc 0.025 0.500 0.300

***

[2]
CsAs2PtCl at its PBEsol-relaxed geometry, computed with meta-GGA SCAN.

Results
Its formation energy from raw total energies is 1936.2 meV/atom.

a b c (Å): 5.684 5.684 5.489
angles (deg): 90.00 90.00 90.00
Space group P4/mmm (No. 123)
Asymmetric unit:
Cs 0.000 0.000 0.000
As 0.000 0.500 0.000
Pt 0.500 0.500 0.500
Cl 0.000 0.000 0.500

***

[3]
Hf2AsPbW at its PBEsol-relaxed geometry, computed with meta-GGA SCAN.

Results
The formation energy is 2.043 eV/atom.

a b c (Å): 5.222 5.222 4.955
angles (deg): 90.00 90.00 90.00
Space group P4/mmm (No. 123)
Asymmetric unit:
Hf 0.000 0.500 0.000
As 0.000 0.000 0.500
Pb 0.500 0.500 0.000
W 0.500 0.500 0.500